## P
Here is Nd2HoIn4 after structural relaxation from the Alexandria database. Energies are from PBE.

Geometry as CIF:
```
data_Nd2HoIn4
_cell_length_a 5.301
_cell_length_b 5.301
_cell_length_c 14.957
_cell_angle_alpha 90.00
_cell_angle_beta 90.00
_cell_angle_gamma 90.00
_space_group_name_H-M_alt 'I 4/m m m'
_space_group_IT_number 139
_space_group_name_Hall '-I 4 2'
loop_
_atom_site_label
_atom_site_type_symbol
_atom_site_fract_x
_atom_site_fract_y
_atom_site_fract_z
Nd1 Nd 0.000 0.000 0.249
Ho1 Ho 0.000 0.000 0.500
In1 In 0.000 0.500 0.109
```

---

## Q
Here is Nd2HoIn4 after structural relaxation from the Alexandria database. Energies are from PBE.

Geometry as CIF:
```
data_Nd2HoIn4
_cell_length_a 5.626
_cell_length_b 5.626
_cell_length_c 16.113
_cell_angle_alpha 90.00
_cell_angle_beta 90.00
_cell_angle_gamma 90.00
_space_group_name_H-M_alt 'I 4/m m m'
_space_group_IT_number 139
_space_group_name_Hall '-I 4 2'
loop_
_atom_site_label
_atom_site_type_symbol
_atom_site_fract_x
_atom_site_fract_y
_atom_site_fract_z
Nd1 Nd 0.000 0.000 0.111
Ho1 Ho 0.000 0.000 0.500
In1 In 0.000 0.000 0.312
In2 In 0.000 0.500 0.000
```

---

Most favorable structure: P. The second most favorable one is 449 meV/atom above it.

---

## P
Here is Nd3Ho2In after structural relaxation from the Alexandria database. Energies are from PBE.

Geometry as CIF:
```
data_Nd3Ho2In
_cell_length_a 4.997
_cell_length_b 15.256
_cell_length_c 4.925
_cell_angle_alpha 90.00
_cell_angle_beta 90.00
_cell_angle_gamma 90.00
_space_group_name_H-M_alt 'C m m m'
_space_group_IT_number 65
_space_group_name_Hall '-C 2 2'
loop_
_atom_site_label
_atom_site_type_symbol
_atom_site_fract_x
_atom_site_fract_y
_atom_site_fract_z
Nd1 Nd 0.000 0.000 0.000
Nd2 Nd 0.000 0.331 0.000
Ho1 Ho 0.000 0.163 0.500
In1 In 0.000 0.500 0.500
```

---

## Q
Here is Nd3Ho2In after structural relaxation from the Alexandria database. Energies are from PBE.

Geometry as CIF:
```
data_Nd3Ho2In
_cell_length_a 8.700
_cell_length_b 3.739
_cell_length_c 11.738
_cell_angle_alpha 90.00
_cell_angle_beta 90.87
_cell_angle_gamma 90.00
_space_group_name_H-M_alt 'P 1 21/m 1'
_space_group_IT_number 11
loop_
_space_group_symop_operation_xyz
'x,y,z'
'-x,-y,-z'
'-x,y+1/2,-z'
'x,-y+1/2,z'
loop_
_atom_site_label
_atom_site_type_symbol
_atom_site_fract_x
_atom_site_fract_y
_atom_site_fract_z
Nd1 Nd 0.094 0.250 0.103
Nd2 Nd 0.345 0.750 0.571
Nd3 Nd 0.391 0.750 0.251
Ho1 Ho 0.083 0.250 0.393
Ho2 Ho 0.355 0.750 0.929
In1 In 0.162 0.250 0.756
```

---

Most favorable structure: P. The second most favorable one is 31 meV/atom above it.

---

## P
Here is Nd2HoIn after structural relaxation from the Alexandria database. Energies are from PBE.

Geometry as CIF:
```
data_Nd2HoIn
_cell_length_a 3.6827
_cell_length_b 3.6827
_cell_length_c 33.0869
_cell_angle_alpha 90.00
_cell_angle_beta 90.00
_cell_angle_gamma 120.00
_space_group_name_H-M_alt 'R 3 m'
_space_group_IT_number 160
_space_group_name_Hall 'R 3 -2"'
loop_
_atom_site_label
_atom_site_type_symbol
_atom_site_fract_x
_atom_site_fract_y
_atom_site_fract_z
Nd1 Nd 0.0000 0.0000 0.0000
Nd2 Nd 0.0000 0.0000 0.1756
Ho1 Ho 0.0000 0.0000 0.7544
In1 In 0.0000 0.0000 0.5881
```

---

## Q
Here is Nd2HoIn after structural relaxation from the Alexandria database. Energies are from PBE.

Geometry as CIF:
```
data_Nd2HoIn
_cell_length_a 7.861
_cell_length_b 7.861
_cell_length_c 7.861
_cell_angle_alpha 90.00
_cell_angle_beta 90.00
_cell_angle_gamma 90.00
_space_group_name_H-M_alt 'F m -3 m'
_space_group_IT_number 225
_space_group_name_Hall '-F 4 2 3'
loop_
_atom_site_label
_atom_site_type_symbol
_atom_site_fract_x
_atom_site_fract_y
_atom_site_fract_z
Nd1 Nd 0.250 0.250 0.250
Ho1 Ho 0.000 0.000 0.000
In1 In 0.000 0.000 0.500
```

---

Most favorable structure: Q. The second most favorable one is 38 meV/atom above it.